Density functional theory data (PBE) for crystalline La2InCo at its relaxed geometry.

Summary:
ΔE_f in eV/atom: -0.223
Mass density in g cm⁻³: 7.2
Final energy in eV/atom: -5.15
D(E_F) in states/eV/atom: 0.724

abc: 3.507 3.489 8.520
angles: 90.00 90.17 90.00
Fractional positions:
La (0.002, 0.000, 0.298)
La (0.998, 0.000, 0.702)
In (0.500, 0.500, 0.000)
Co (0.500, 0.500, 0.500)